Density functional theory data (PBE) for a geometry-optimized SmDyHg structure.

Cell: 5.1604 5.1604 3.7929 Å, 90.00 90.00 120.00°
Closest atoms and distances in Å follow each position.
Fractional coordinates of all 3 atoms:
Sm1 0.0000 0.0000 0.0000  3 Hg 3.26, 6 Dy 3.46-3.61
Dy1 0.6667 0.3333 0.5378  3 Hg 3.06
Hg1 0.3333 0.6667 0.3512  3 Dy 3.06, 3 Sm 3.26

Properties
Total energy: -3.39 eV per atom
Offset from the most stable computed form: 0.50 eV per formula unit
Energy relative to the elements: -53 kJ/mol of formula units